[1]
A geometry-optimized NbGaO2F structure. Source: Alexandria, functional PBE-GGA.

Calculated values
**D(E_F)**: 1.621 states/eV/f.u.
**Calculated total energy**: -34.4 eV/f.u.
**SG**: P4/mmm
**Uncorrected formation energy**: -1.911 eV/atom

Unit cell a=4.0444 b=4.0444 c=4.3097 alpha=90.00 beta=90.00 gamma=90.00
Last column: magnetic moment on the atom in μB.
Element x y z (fractional)
Nb 0.0000 0.0000 0.0000  0.55
O 0.0000 0.5000 0.0000  -0.01
O 0.5000 0.0000 0.0000  -0.01
Ga 0.5000 0.5000 0.5000  0.01
F 0.0000 0.0000 0.5000  0.02



[2]
A geometry-optimized NbGaO2F structure. Source: Alexandria, functional PBE-GGA.

Calculated values
**D(E_F)**: 3.901 states/eV/f.u.
**Calculated total energy**: -30.2 eV/f.u.
**SG**: P4/mmm
**Uncorrected formation energy**: -1.056 eV/atom

Unit cell a=3.9244 b=3.9244 c=3.8166 alpha=90.00 beta=90.00 gamma=90.00
Last column: magnetic moment on the atom in μB.
Element x y z (fractional)
Nb 0.5000 0.5000 0.5000  2.54
O 0.0000 0.5000 0.0000  -0.02
O 0.5000 0.0000 0.0000  -0.02
Ga 0.0000 0.0000 0.0000  0.00
F 0.0000 0.0000 0.5000  0.06



Q: What is the formula in the first record?
A: NbGaO2F